Entry 1:
Computed, not measured: an optimized crystal structure of Ca2YAu2 at the PBE level of DFT.

Structure (POSCAR):
```
Ca2YAu2
1.0
8.5980 0.0000 0.0000
0.0000 8.5980 0.0000
0.0000 0.0000 3.4151
Y Ca Au
2 4 4
Cartesian
0.0000 0.0000 0.0000 Y
4.2990 4.2990 0.0000 Y
3.1669 7.4659 0.0000 Ca
7.4659 5.4310 0.0000 Ca
5.4310 1.1320 0.0000 Ca
1.1320 3.1669 0.0000 Ca
1.4497 5.7487 1.7076 Au
5.7487 7.1483 1.7076 Au
7.1483 2.8493 1.7076 Au
2.8493 1.4497 1.7076 Au
```

Results
Its formation enthalpy at 0 K is -0.449 eV/atom. The energy above the most stable polymorph in this dataset is 239 meV/atom. As for the crystal system: tetragonal. As for the space group: P4/mbm, No. 127.

---

Entry 2:
Computed, not measured: an optimized crystal structure of ZrInAs at the PBE level of DFT.

Structure (POSCAR):
```
ZrInAs
1.0
-2.4357 -0.5158 -2.7533
-2.7544 -0.5429 2.5386
-0.9441 10.0338 1.1313
As Zr In
2 2 2
Cartesian
-1.6429 1.4362 -0.0652 As
-4.4914 7.5389 0.9819 As
-2.0291 8.7055 1.0814 Zr
-4.1051 0.2696 -0.1647 Zr
-4.1262 3.3406 0.4747 In
-2.0080 5.6345 0.4419 In
```

Results
Its formation enthalpy at 0 K is -0.642 eV/atom. The energy above the most stable polymorph in this dataset is 0 meV/atom. As for the crystal system: monoclinic. As for the space group: P2_1/m, No. 11.

---

Entry 3:
Computed, not measured: an optimized crystal structure of ZrAlTc at the PBE level of DFT.

Structure (POSCAR):
```
ZrAlTc
1.0
-3.6104 -1.3509 -2.4324
3.1962 -3.0188 1.2032
-1.4393 -0.5505 2.4420
Tc Zr Al
1 1 1
Cartesian
0.4761 -2.6354 0.7570 Tc
-2.2306 -2.2469 0.2880 Zr
-0.0989 -0.0378 0.1679 Al
```

Results
Its formation enthalpy at 0 K is -0.281 eV/atom. The energy above the most stable polymorph in this dataset is 227 meV/atom. As for the crystal system: trigonal. As for the space group: P3m1, No. 156.

---

Entry 4:
Computed, not measured: an optimized crystal structure of Pm3Dy2YAs6 at the PBE level of DFT.

Structure (POSCAR):
```
Pm3Dy2YAs6
1.0
-3.9870 -0.9455 0.8360
2.0719 -8.0583 0.7673
3.0023 3.6959 8.0391
Pm Dy Y As
3 2 1 6
Cartesian
-0.9576 -4.5019 0.8016 Pm
-0.9755 0.3324 6.1842 Pm
2.0626 -5.6402 3.4581 Pm
0.0604 -3.6965 6.5678 Dy
1.0268 -1.6114 3.0745 Dy
-1.9935 -0.4728 0.4180 Y
2.5661 -5.1953 6.3629 As
-0.4540 -4.0547 3.7093 As
-1.4790 -0.1126 3.2794 As
0.5137 -1.9751 0.2162 As
0.5735 -3.3328 9.4261 As
1.5412 -1.2532 5.9330 As
```

Results
Its formation enthalpy at 0 K is -1.532 eV/atom. As for the crystal system: monoclinic. As for the space group: C2/m, No. 12.

---

Entry 5:
Computed, not measured: an optimized crystal structure of CaNbSi2 at the PBE level of DFT.

Structure (POSCAR):
```
CaNbSi2
1.0
2.7676 3.4339 1.6611
-1.0326 2.0832 4.0993
2.7021 -0.7738 3.7829
Nb Si Ca
1 2 1
Cartesian
2.2186 2.3717 4.7717 Nb
1.1093 1.1858 2.3858 Si
3.3278 3.5575 7.1575 Si
0.0000 0.0000 0.0000 Ca
```

Results
The energy above the most stable polymorph in this dataset is 0 meV/atom. As for the crystal system: cubic. For the formation energy without anion corrections, the calculation gives 0.070 eV per atom. As for the space group: Fm-3m, No. 225.

---

Entry 6:
Computed, not measured: an optimized crystal structure of La2Sn4Pd3Pt at the PBE level of DFT.

Structure (POSCAR):
```
La2Sn4Pd3Pt
1.0
4.6410 0.0000 0.0000
0.0000 4.6410 0.0000
0.0000 0.0000 10.7324
La Sn Pd Pt
2 4 3 1
Cartesian
2.3205 0.0000 2.7916 La
0.0000 2.3205 7.9407 La
2.3205 2.3205 0.0000 Sn
0.0000 0.0000 0.0000 Sn
2.3205 0.0000 6.7292 Sn
0.0000 2.3205 4.0031 Sn
0.0000 0.0000 5.3662 Pd
2.3205 0.0000 9.3416 Pd
0.0000 2.3205 1.3907 Pd
2.3205 2.3205 5.3662 Pt
```

Results
Its formation enthalpy at 0 K is -0.839 eV/atom. As for the crystal system: tetragonal. As for the space group: P-4m2, No. 115.

---

Entry 7:
Computed, not measured: an optimized crystal structure of RbNaPu2O8 at the PBE level of DFT.

Structure (POSCAR):
```
RbNaPu2O8
1.0
-0.2128 -2.9824 5.1334
5.1927 2.0495 -2.0315
-0.9960 5.8527 3.3590
Rb Na Pu O
1 1 2 8
Cartesian
-0.4980 2.9264 1.6795 Rb
0.0000 0.0000 0.0000 Na
1.5321 -0.9707 2.9370 Pu
2.4518 5.8906 3.5239 Pu
2.1205 3.5656 6.5133 O
0.7414 4.6296 4.2505 O
-0.7042 3.2234 6.2721 O
1.8634 1.3543 -0.0523 O
3.2425 0.2903 2.2105 O
4.6882 1.6965 0.1889 O
1.2605 0.6258 3.8533 O
2.7235 4.2941 2.6077 O
```

Results
As for the crystal system: trigonal. For the formation energy without anion corrections, the calculation gives -1.978 eV per atom. As for the space group: P-3, No. 147.

---

Entry 8:
Computed, not measured: an optimized crystal structure of Cs2PuPdI6 at the PBE level of DFT.

Structure (POSCAR):
```
Cs2PuPdI6
1.0
7.0271 0.0000 0.0000
0.0000 8.4864 0.0000
0.0000 -4.2432 7.3494
Cs Pu Pd I
2 1 1 6
Cartesian
1.7942 0.0000 4.8996 Cs
5.2329 4.2432 2.4498 Cs
3.5136 0.0000 0.0000 Pu
0.0000 0.0000 0.0000 Pd
5.3532 0.0000 2.4611 I
5.3532 -2.1118 6.1189 I
5.3532 2.1118 6.1189 I
1.6739 6.3550 1.2306 I
1.6739 2.1314 1.2306 I
1.6739 4.2432 4.8883 I
```

Results
As for the crystal system: trigonal. For the formation energy without anion corrections, the calculation gives -1.051 eV per atom. As for the space group: P-3m1, No. 164.

---

Entry 9:
Computed, not measured: an optimized crystal structure of YZn2Ru at the PBE level of DFT.

Structure (POSCAR):
```
YZn2Ru
1.0
4.6443 0.0000 0.0000
2.3221 4.0221 0.0000
2.3221 1.3407 3.7920
Ru Y Zn
1 1 2
Cartesian
4.6443 2.6814 1.8960 Ru
6.9664 4.0221 2.8440 Y
0.0000 0.0000 0.0000 Zn
2.3221 1.3407 0.9480 Zn
```

Results
Its formation enthalpy at 0 K is -0.071 eV/atom. As for the crystal system: cubic. As for the space group: F-43m, No. 216.

---

Entry 10:
Computed, not measured: an optimized crystal structure of SmPu2Tc at the PBE level of DFT.

Structure (POSCAR):
```
SmPu2Tc
1.0
3.3130 0.0000 0.0000
0.0000 3.3130 0.0000
0.0000 0.0000 8.9222
Tc Sm Pu
1 1 2
Cartesian
1.6565 1.6565 0.0000 Tc
1.6565 1.6565 4.4611 Sm
0.0000 0.0000 7.1729 Pu
0.0000 0.0000 1.7493 Pu
```

Results
Its formation enthalpy at 0 K is 0.112 eV/atom. The energy above the most stable polymorph in this dataset is 26 meV/atom. As for the crystal system: tetragonal. As for the space group: P4/mmm, No. 123.

---

Entry 11:
Computed, not measured: an optimized crystal structure of Tb4Y3Sc4 at the PBE level of DFT.

Structure (POSCAR):
```
Tb4Y3Sc4
1.0
5.4577 0.0000 0.0000
-2.7288 5.8183 0.0000
0.0000 0.0000 10.3391
Tb Y Sc
4 3 4
Cartesian
2.7288 2.8400 8.1470 Tb
2.7288 2.8400 2.1920 Tb
2.7288 4.5279 5.1695 Tb
2.7288 5.3346 0.0000 Tb
0.0000 4.8580 2.9627 Y
0.0000 4.8580 7.3764 Y
0.0000 2.8894 0.0000 Y
2.7288 1.3393 5.1695 Sc
2.7288 0.5952 0.0000 Sc
0.0000 1.2414 7.1648 Sc
0.0000 1.2414 3.1742 Sc
```

Results
Its formation enthalpy at 0 K is 0.166 eV/atom. As for the crystal system: orthorhombic. As for the space group: Amm2, No. 38.

---

Entry 12:
Computed, not measured: an optimized crystal structure of AgAsF4 at the PBE level of DFT.

Structure (POSCAR):
```
AgAsF4
1.0
-0.4089 -5.7383 1.8492
1.4202 1.1955 4.0239
-7.4769 1.2623 2.2638
Ag As F
2 2 8
Cartesian
0.8428 -4.4510 5.2653 Ag
-3.7389 -1.8327 2.5041 Ag
0.0575 -2.6860 1.6877 As
-2.5859 1.5641 4.4183 As
0.6416 -1.8030 3.1244 F
0.1884 -4.4791 3.1197 F
-6.1679 -0.5730 2.9217 F
-4.0828 -2.7314 6.5581 F
-3.0053 -0.6924 4.2913 F
-3.5195 -4.2248 4.5625 F
-1.5482 -3.1593 5.7907 F
-1.2256 -1.4074 1.4254 F
```

Results
The energy above the most stable polymorph in this dataset is 0 meV/atom. As for the crystal system: orthorhombic. For the formation energy without anion corrections, the calculation gives -1.692 eV per atom. As for the space group: Pmn2_1, No. 31.

---

These records have DFT total energy values of -19.3, -17.9, -23.5, -76.2, -22.6, -55.9, -94.3, -41.0, -18.6, -43.3, -61.4, -25.1 eV/f.u., in the order they appear.
These records have V values of 252, 141, 52, 310, 74, 231, 208, 438, 71, 98, 328, 212 Å³ per cell, in the order they appear.